This record from Alexandria describes a relaxed Tm3Ag3Hg2 crystal. The functional is GGA-PBE.

a b c (Å): 7.469 7.469 3.876
angles (deg): 90.00 90.00 120.00
Sites, in units of the cell vectors:
Tm  0.000  0.378  0.000
Tm  0.378  0.000  0.000
Tm  0.622  0.622  0.000
Ag  0.000  0.775  0.500
Ag  0.225  0.225  0.500
Ag  0.775  0.000  0.500
Hg  0.333  0.667  0.500
Hg  0.667  0.333  0.500

Calculated values
- M_tot: 0.00 μB per formula unit
- Final energy: -24.9 eV/f.u.
- Theoretical density: 10.92 g cm⁻³

=====

This record from Alexandria describes a relaxed CaHf2Fe crystal. The functional is GGA-PBE.

a b c (Å): 6.241 6.241 6.241
angles (deg): 103.30 103.30 122.69
Sites, in units of the cell vectors:
Ca  0.000  0.000  0.000
Ca  0.750  0.250  0.500
Hf  0.204  0.625  0.079
Hf  0.375  0.454  0.579
Hf  0.546  0.125  0.921
Hf  0.875  0.796  0.421
Fe  0.250  0.750  0.500
Fe  0.500  0.500  0.000

Calculated values
- M_tot: 0.00 μB per formula unit
- Final energy: -28.6 eV/f.u.
- E above lowest polymorph: 0.0 meV per atom
- Theoretical density: 8.38 g cm⁻³